Compound: AgGe2Au2
Source: Alexandria via LeMat-Bulk
Functional: GGA-PBE
Structure: relaxed

Cell and atoms, written as POSCAR:
```
AgGe2Au2
1.0
7.448 0.000 0.000
0.000 7.448 0.000
0.000 0.000 3.500
Ag Ge Au
2 4 4
Cartesian
3.724 3.724 0.000
0.000 0.000 0.000
6.270 4.903 0.000
2.546 6.270 0.000
1.178 2.546 0.000
4.903 1.178 0.000
6.361 2.637 1.750
4.812 6.361 1.750
1.087 4.812 1.750
2.637 1.087 1.750
```

The calculation puts the density of states at the Fermi level at 2.55 states/eV per cell. The value obtained for the energy of formation from the pure elements is 76 kJ/mol of formula units.